No. 1
DFT (PBE) results for an optimized crystal structure of PuPaSbSe.

Unit cell a=5.2003 b=5.2003 c=5.2003 alpha=60.00 beta=60.00 gamma=60.00
Site moments in Bohr magnetons follow the coordinates.
Fractional coordinates of all 4 atoms:
Pa 0.5000 0.5000 0.5000  1.51
Sb 0.7500 0.7500 0.7500  -0.09
Se 0.2500 0.2500 0.2500  -0.09
Pu 0.0000 0.0000 0.0000  5.61

Summary:
Calculated volume   99.4 Å³/cell
Total magnetization   7.90 μB/cell
ΔE_f (raw)   -0.829 eV per atom
Space group   F-43m, No. 216


No. 2
DFT (PBE) results for an optimized crystal structure of In2CoSe.

Unit cell a=3.5143 b=4.8113 c=4.8113 alpha=90.00 beta=90.00 gamma=90.00
Site moments in Bohr magnetons follow the coordinates.
Fractional coordinates of all 4 atoms:
Se 0.5000 0.5000 0.0000  0.04
In 0.0000 0.5000 0.5000  0.01
In 0.0000 0.0000 0.0000  0.01
Co 0.5000 0.0000 0.5000  1.51

Summary:
Calculated volume   81.4 Å³/cell
Total magnetization   1.50 μB/cell
ΔE_f (raw)   0.298 eV per atom
Space group   P4/mmm, No. 123


No. 3
DFT (PBE) results for an optimized crystal structure of RbCaTe3.

Unit cell a=6.2326 b=6.4763 c=18.3882 alpha=90.00 beta=90.00 gamma=90.00
Fractional coordinates of all 20 atoms:
Ca 0.2500 0.7500 0.5006
Ca 0.7500 0.7500 0.0006
Ca 0.7500 0.2500 0.4994
Ca 0.2500 0.2500 0.9994
Te 0.7500 0.7500 0.5801
Te 0.0754 0.4274 0.6200
Te 0.9246 0.4274 0.1200
Te 0.5754 0.9274 0.3800
Te 0.0754 0.5726 0.8800
Te 0.2500 0.7500 0.0801
Te 0.2500 0.2500 0.4199
Te 0.9246 0.5726 0.3800
Te 0.4246 0.9274 0.8800
Te 0.5754 0.0726 0.1200
Te 0.7500 0.2500 0.9199
Te 0.4246 0.0726 0.6200
Rb 0.0325 0.0000 0.2500
Rb 0.9675 0.0000 0.7500
Rb 0.5325 0.5000 0.7500
Rb 0.4675 0.5000 0.2500

Summary:
Calculated volume   742.2 Å³/cell
Total magnetization   0.00 μB/cell
ΔE_f (raw)   -0.940 eV per atom
Space group   Pnna, No. 52
Distance to the lowest polymorph of the same formula   0.000 eV per atom


No. 4
DFT (PBE) results for an optimized crystal structure of Y2Co2Bi.

Unit cell a=7.2484 b=7.2484 c=4.0075 alpha=90.00 beta=90.00 gamma=90.00
Site moments in Bohr magnetons follow the coordinates.
Fractional coordinates of all 10 atoms:
Co 0.3911 0.8911 0.0000  0.95
Co 0.8911 0.6089 0.0000  0.90
Co 0.1089 0.3911 0.0000  0.90
Co 0.6089 0.1089 0.0000  0.95
Y 0.8235 0.3235 0.5000  -0.10
Y 0.3235 0.1765 0.5000  -0.11
Y 0.6765 0.8235 0.5000  -0.11
Y 0.1765 0.6765 0.5000  -0.10
Bi 0.5000 0.5000 0.0000  0.05
Bi 0.0000 0.0000 0.0000  0.05

Summary:
Calculated volume   210.5 Å³/cell
Total magnetization   3.06 μB/cell
Space group   P4/mbm, No. 127
DFT formation energy   -0.29 eV per atom
Distance to the lowest polymorph of the same formula   0.000 eV per atom


No. 5
DFT (PBE) results for an optimized crystal structure of Sm2GaSb.

Unit cell a=4.2560 b=4.2560 c=7.9576 alpha=74.49 beta=74.49 gamma=60.00
Fractional coordinates of all 4 atoms:
Ga 0.0000 0.0000 0.0000
Sb 0.5000 0.5000 0.5000
Sm 0.2492 0.2492 0.2523
Sm 0.7508 0.7508 0.7477

Summary:
Calculated volume   118.7 Å³/cell
Total magnetization   0.00 μB/cell
ΔE_f (raw)   -0.723 eV per atom
Space group   R-3m, No. 166
Distance to the lowest polymorph of the same formula   0.130 eV per atom


No. 6
DFT (PBE) results for an optimized crystal structure of Sc2CdW.

Unit cell a=5.3558 b=5.3558 c=5.3457 alpha=82.45 beta=82.45 gamma=32.15
Fractional coordinates of all 4 atoms:
Cd 0.7618 0.7618 0.7691
Sc 0.0128 0.0128 0.9705
Sc 0.2332 0.2332 0.2986
W 0.4922 0.4922 0.4618

Summary:
Calculated volume   80.8 Å³/cell
Total magnetization   0.00 μB/cell
Space group   Cm, No. 8
DFT formation energy   0.17 eV per atom


No. 7
DFT (PBE) results for an optimized crystal structure of NpGa2Au2.

Unit cell a=4.7324 b=4.9363 c=8.8298 alpha=101.07 beta=90.00 gamma=90.00
Site moments in Bohr magnetons follow the coordinates.
Fractional coordinates of all 10 atoms:
Ga 0.2500 0.8585 0.6074  0.01
Ga 0.7500 0.7768 0.0026  0.01
Ga 0.2500 0.2232 0.9974  0.01
Ga 0.7500 0.1415 0.3926  0.01
Au 0.2500 0.3312 0.5275  0.00
Au 0.7500 0.6688 0.4725  0.00
Au 0.7500 0.3212 0.1387  0.00
Au 0.2500 0.6788 0.8613  0.00
Np 0.2500 0.7781 0.2404  4.00
Np 0.7500 0.2219 0.7596  4.00

Summary:
Calculated volume   202.4 Å³/cell
Total magnetization   8.49 μB/cell
Space group   P2_1/m, No. 11
DFT formation energy   -0.19 eV per atom
Distance to the lowest polymorph of the same formula   0.039 eV per atom


No. 8
DFT (PBE) results for an optimized crystal structure of ReAgBr2.

Unit cell a=3.1702 b=4.9048 c=4.9048 alpha=90.00 beta=90.00 gamma=90.00
Fractional coordinates of all 4 atoms:
Ag 0.5000 0.0000 0.5000
Re 0.5000 0.5000 0.0000
Br 0.0000 0.5000 0.5000
Br 0.0000 0.0000 0.0000

Summary:
Calculated volume   76.3 Å³/cell
Total magnetization   0.02 μB/cell
ΔE_f (raw)   1.113 eV per atom
Space group   P4/mmm, No. 123
Distance to the lowest polymorph of the same formula   0.674 eV per atom